1.
The following is a GGA-PBEsol calculation of a geometry-optimized Ba2TeMo structure, from Alexandria.

abc: 3.772 5.676 6.547
angles: 107.95 106.74 90.00
Last column: magnetic moment on the atom in μB.
Sites, in units of the cell vectors:
Te (0.796, 0.248, 0.592)  0.00
Mo (0.448, 0.494, 0.897)  1.66
Ba (0.227, 0.698, 0.454)  0.02
Ba (0.029, 0.060, 0.057)  -0.01

Results
N(E_F) (states/eV/f.u.): 2.618
Total magnetic moment (μB per formula unit): 2.0
DFT total energy (eV/atom): -4.7866
Theoretical density (g/cm3): 6.51
Formation energy (no corrections) (eV per atom): 0.1114

=====

2.
The following is a GGA-PBEsol calculation of a geometry-optimized BaTeMo2 structure, from Alexandria.

abc: 3.726 3.726 6.966
angles: 90.00 90.00 90.00
Sites, in units of the cell vectors:
Te (0.500, 0.500, 0.000)
Ba (0.500, 0.500, 0.500)
Mo (0.000, 0.000, 0.162)
Mo (0.000, 0.000, 0.838)

Results
N(E_F) (states/eV/f.u.): 4.490
Total magnetic moment (μB per formula unit): 0.0
DFT total energy (eV/atom): -6.6040
Theoretical density (g/cm3): 7.85
Formation energy (no corrections) (eV per atom): 0.6987

=====

3.
The following is a GGA-PBEsol calculation of a geometry-optimized BaTe2Mo structure, from Alexandria.

abc: 4.355 4.355 7.475
angles: 73.06 73.06 60.00
Last column: magnetic moment on the atom in μB.
Sites, in units of the cell vectors:
Te (0.272, 0.272, 0.183)  0.00
Ba (0.500, 0.500, 0.500)  -0.02
Te (0.728, 0.728, 0.817)  0.00
Mo (0.000, 0.000, 0.000)  1.82

Results
N(E_F) (states/eV/f.u.): 1.492
Total magnetic moment (μB per formula unit): 2.0
Excess energy over the best structure of this formula in the dataset (meV per atom): 0
DFT total energy (eV/atom): -5.7097
Theoretical density (g/cm3): 7.02
Formation energy (no corrections) (eV per atom): -0.4674

=====

- Which formula does entry 3 have?
  BaTe2Mo

=====

- What is the N(E_F) in the third record?
  1.492 states/eV/f.u.

=====

- Which of these has the lowest DFT total energy?
  BaTeMo2